No. 1
Entry from the Alexandria database: a relaxed Ce2HgO crystal (GGA-PBE).

Calculated values
Formation energy from raw total energies   -139.6 kJ per mole of atoms
DFT total energy   -45.8 eV for the cell shown
Energy above the most stable polymorph in this dataset   0.002 eV per atom
Size of the total moment   3.52 μB/cell

The structure in POSCAR format:
```
Ce2HgO
1.0
0.0000 10.8044 2.9294
2.9569 0.0000 2.9294
2.9569 10.8044 0.0000
Ce Hg O
4 2 2
direct
0.1989 0.8011 0.1989
0.5354 0.9979 0.4646
0.8011 0.1989 0.8011
0.9979 0.5354 0.0021
0.3825 0.6143 0.3857
0.6143 0.3825 0.6175
0.2495 0.2495 0.2505
0.7495 0.7495 0.7505
```

No. 2
Entry from the Alexandria database: a relaxed CoSb3N crystal (GGA-PBE).

Calculated values
Formation energy from raw total energies   119.8 kJ per mole of atoms
DFT total energy   -21.6 eV for the cell shown
Energy above the most stable polymorph in this dataset   0.389 eV per atom
Size of the total moment   0.00 μB/cell

The structure in POSCAR format:
```
CoSb3N
1.0
4.8242 0.0000 0.0000
0.0000 4.8242 0.0000
0.0000 0.0000 4.8242
Co Sb N
1 3 1
direct
0.0000 0.0000 0.0000
0.0000 0.0000 0.5000
0.0000 0.5000 0.0000
0.5000 0.0000 0.0000
0.5000 0.5000 0.5000
```

No. 3
Entry from the Alexandria database: a relaxed Pr2Mg3Ag2 crystal (GGA-PBE).

Calculated values
DFT total energy   -21.3 eV for the cell shown
Calculated formation energy   -184 meV/atom
Energy above the most stable polymorph in this dataset   0.052 eV per atom
Size of the total moment   0.00 μB/cell

The structure in POSCAR format:
```
Pr2Mg3Ag2
1.0
5.4005 -2.2306 0.0000
5.4005 2.2306 0.0000
-0.7523 0.0000 7.5167
Pr Mg Ag
2 3 2
direct
0.1255 0.1255 0.3440
0.8745 0.8745 0.6560
0.1834 0.1834 0.8684
0.5000 0.5000 0.0000
0.8166 0.8166 0.1316
0.4129 0.4129 0.3428
0.5871 0.5871 0.6572
```